No. 1
Here is a geometry-optimized BaMn3 structure from the Alexandria database. Energies are from GGA-PBE.

Unit cell a=5.734 b=5.734 c=5.734 alpha=116.80 beta=116.80 gamma=116.80
Last column: magnetic moment on the atom in μB.
Fractional positions:
Ba: 0.000 0.000 0.000  -0.19
Mn: 0.500 0.000 0.500  3.63
Mn: 0.500 0.500 0.000  3.63
Mn: 0.000 0.500 0.500  3.63

Results
Its total energy is -6.2453 eV/atom. The crystal system is trigonal. The magnetic moment comes out at 11.0 Bohr magnetons per cell. The value obtained for the formation energy is 1113 meV/atom.

=====

No. 2
Here is a geometry-optimized MnBe2Cl structure from the Alexandria database. Energies are from GGA-PBE.

Unit cell a=4.292 b=4.292 c=2.787 alpha=90.00 beta=90.00 gamma=114.15
Last column: magnetic moment on the atom in μB.
Fractional positions:
Be: 0.000 0.000 0.000  -0.07
Be: 0.500 0.500 0.000  -0.07
Mn: 0.000 0.500 0.500  2.35
Cl: 0.500 0.000 0.500  0.02

Results
Its total energy is -4.1282 eV/atom. The crystal system is orthorhombic. The magnetic moment comes out at 2.2 Bohr magnetons per cell. As for the formation energy from raw total energies: 0.49 eV per atom.

=====

No. 3
Here is a geometry-optimized BeFe2Pt structure from the Alexandria database. Energies are from GGA-PBE.

Unit cell a=3.950 b=3.498 c=3.498 alpha=90.00 beta=90.00 gamma=90.00
Last column: magnetic moment on the atom in μB.
Fractional positions:
Be: 0.500 0.000 0.500  -0.08
Fe: 0.000 0.000 0.000  2.69
Fe: 0.000 0.500 0.500  2.69
Pt: 0.500 0.500 0.000  0.23

Results
Its total energy is -6.8995 eV/atom. The crystal system is tetragonal. The magnetic moment comes out at 5.5 Bohr magnetons per cell. The value obtained for the formation energy is -226 meV/atom.

=====

No. 4
Here is a geometry-optimized K4Nd3GeS8 structure from the Alexandria database. Energies are from GGA-PBE.

Unit cell a=8.245 b=8.790 c=8.246 alpha=118.00 beta=120.00 gamma=90.00
Fractional positions:
K: 0.500 0.000 0.000
K: 0.500 0.000 0.500
K: 0.000 0.000 0.000
K: 0.000 0.000 0.500
Nd: 0.500 0.500 0.000
Nd: 0.500 0.500 0.500
Nd: 0.000 0.500 0.500
Ge: 0.000 0.500 0.000
S: 0.224 0.700 0.976
S: 0.224 0.700 0.449
S: 0.263 0.290 0.526
S: 0.752 0.700 0.976
S: 0.248 0.300 0.024
S: 0.737 0.710 0.474
S: 0.776 0.300 0.551
S: 0.776 0.300 0.024

Results
Its total energy is -5.0178 eV/atom. The crystal system is trigonal. The magnetic moment comes out at 0.0 Bohr magnetons per cell. As for the formation energy from raw total energies: -1.50 eV per atom.

=====

No. 5
Here is a geometry-optimized Ta2NbSiNi structure from the Alexandria database. Energies are from GGA-PBE.

Unit cell a=4.560 b=4.574 c=4.560 alpha=90.00 beta=90.00 gamma=90.00
Fractional positions:
Ni: 0.000 0.000 0.000
Nb: 0.000 0.500 0.000
Si: 0.500 0.500 0.500
Ta: 0.000 0.000 0.500
Ta: 0.500 0.000 0.000

Results
Its total energy is -8.1715 eV/atom. The crystal system is tetragonal. The magnetic moment comes out at 0.0 Bohr magnetons per cell. As for the formation energy from raw total energies: 0.82 eV per atom.

=====

No. 6
Here is a geometry-optimized Li2SmNpSe4 structure from the Alexandria database. Energies are from GGA-PBE.

Unit cell a=4.134 b=7.172 c=6.928 alpha=110.28 beta=90.00 gamma=90.00
Last column: magnetic moment on the atom in μB.
Fractional positions:
Li: 0.500 0.000 0.500  0.00
Li: 0.000 0.500 0.500  0.00
Sm: 0.000 0.000 0.000  0.06
Np: 0.500 0.500 0.000  3.87
Se: 0.500 0.254 0.259  -0.02
Se: 0.500 0.746 0.741  -0.02
Se: 0.000 0.251 0.745  -0.06
Se: 0.000 0.749 0.255  -0.06

Results
Its total energy is -5.8525 eV/atom. The crystal system is monoclinic. The magnetic moment comes out at 4.0 Bohr magnetons per cell. As for the formation energy from raw total energies: -1.42 eV per atom.

=====

No. 7
Here is a geometry-optimized MgAlTlSi2 structure from the Alexandria database. Energies are from GGA-PBE.

Unit cell a=5.207 b=5.232 c=5.207 alpha=90.00 beta=90.00 gamma=90.00
Fractional positions:
Mg: 0.000 0.500 0.000
Tl: 0.000 0.000 0.000
Si: 0.000 0.000 0.500
Si: 0.500 0.000 0.000
Al: 0.500 0.500 0.500

Results
Its total energy is -2.5264 eV/atom. The crystal system is tetragonal. The magnetic moment comes out at 0.0 Bohr magnetons per cell. As for the formation energy from raw total energies: 1.18 eV per atom.

=====

No. 8
Here is a geometry-optimized YCuHg2 structure from the Alexandria database. Energies are from GGA-PBE.

Unit cell a=3.430 b=3.428 c=7.200 alpha=90.00 beta=90.00 gamma=90.00
Last column: magnetic moment on the atom in μB.
Fractional positions:
Cu: 0.500 0.500 0.750  0.00
Hg: 0.000 0.000 0.963  0.00
Hg: 0.000 0.000 0.537  0.00
Y: 0.500 0.500 0.250  0.17

Results
Its total energy is -2.9546 eV/atom. The crystal system is tetragonal. The magnetic moment comes out at 0.3 Bohr magnetons per cell. The value obtained for the formation energy is -164 meV/atom.

=====

No. 9
Here is a geometry-optimized BeReHg2 structure from the Alexandria database. Energies are from GGA-PBE.

Unit cell a=4.387 b=2.860 c=5.528 alpha=74.31 beta=90.00 gamma=90.00
Fractional positions:
Re: 0.500 0.250 0.250
Hg: 0.000 0.873 0.988
Hg: 0.000 0.627 0.512
Be: 0.500 0.750 0.750

Results
Its total energy is -3.3257 eV/atom. The crystal system is monoclinic. The magnetic moment comes out at 0.0 Bohr magnetons per cell. The value obtained for the formation energy is 869 meV/atom.

=====

No. 10
Here is a geometry-optimized RbSn3Te3 structure from the Alexandria database. Energies are from GGA-PBE.

Unit cell a=5.474 b=10.889 c=10.889 alpha=120.00 beta=90.00 gamma=90.00
Fractional positions:
Rb: 0.250 0.667 0.333
Rb: 0.750 0.333 0.667
Sn: 0.750 0.980 0.816
Sn: 0.750 0.836 0.020
Sn: 0.250 0.816 0.836
Sn: 0.750 0.184 0.164
Sn: 0.250 0.164 0.980
Sn: 0.250 0.020 0.184
Te: 0.750 0.472 0.435
Te: 0.750 0.963 0.528
Te: 0.250 0.435 0.963
Te: 0.750 0.565 0.037
Te: 0.250 0.037 0.472
Te: 0.250 0.528 0.565

Results
Its total energy is -3.3631 eV/atom. The crystal system is hexagonal. The magnetic moment comes out at 0.0 Bohr magnetons per cell. As for the formation energy from raw total energies: -0.16 eV per atom.

=====

No. 11
Here is a geometry-optimized Si3RhO structure from the Alexandria database. Energies are from GGA-PBE.

Unit cell a=4.016 b=4.016 c=4.016 alpha=90.00 beta=90.00 gamma=90.00
Fractional positions:
Si: 0.000 0.500 0.000
Si: 0.000 0.000 0.500
Si: 0.500 0.000 0.000
Rh: 0.500 0.500 0.500
O: 0.000 0.000 0.000

Results
Its total energy is -5.6788 eV/atom. The crystal system is cubic. The magnetic moment comes out at 0.0 Bohr magnetons per cell. As for the formation energy from raw total energies: 0.04 eV per atom.

=====

No. 12
Here is a geometry-optimized Sm5YBi6 structure from the Alexandria database. Energies are from GGA-PBE.

Unit cell a=7.875 b=7.877 c=7.877 alpha=60.00 beta=80.40 gamma=70.51
Fractional positions:
Sm: 0.500 0.168 0.664
Sm: 0.000 0.334 0.333
Sm: 0.500 0.500 0.000
Sm: 0.000 0.666 0.667
Sm: 0.500 0.832 0.336
Y: 0.000 0.000 0.000
Bi: 0.752 0.083 0.331
Bi: 0.248 0.587 0.331
Bi: 0.249 0.248 0.000
Bi: 0.751 0.752 0.000
Bi: 0.752 0.413 0.669
Bi: 0.248 0.917 0.669

Results
Its total energy is -5.3658 eV/atom. The crystal system is monoclinic. The magnetic moment comes out at 0.0 Bohr magnetons per cell. The value obtained for the formation energy is -920 meV/atom.

=====

No. 13
Here is a geometry-optimized CoNi2MoH structure from the Alexandria database. Energies are from GGA-PBE.

Unit cell a=3.564 b=3.564 c=3.952 alpha=90.00 beta=90.00 gamma=90.00
Fractional positions:
Ni: 0.000 0.500 0.000
Ni: 0.500 0.000 0.000
Mo: 0.000 0.000 0.500
Co: 0.500 0.500 0.500
H: 0.000 0.000 0.000

Results
Its total energy is -6.4820 eV/atom. The crystal system is tetragonal. The magnetic moment comes out at 0.0 Bohr magnetons per cell.

=====

No. 14
Here is a geometry-optimized LiAc4Te5 structure from the Alexandria database. Energies are from GGA-PBE.

Unit cell a=4.696 b=4.696 c=19.071 alpha=82.93 beta=82.93 gamma=60.00
Fractional positions:
Li: 0.500 0.500 0.500
Ac: 0.896 0.896 0.312
Ac: 0.299 0.299 0.104
Ac: 0.701 0.701 0.896
Ac: 0.104 0.104 0.688
Te: 0.403 0.403 0.792
Te: 0.000 0.000 0.000
Te: 0.597 0.597 0.208
Te: 0.805 0.805 0.586
Te: 0.195 0.195 0.414

Results
Its total energy is -4.8363 eV/atom. The crystal system is trigonal. The magnetic moment comes out at 0.0 Bohr magnetons per cell. As for the formation energy from raw total energies: -1.43 eV per atom.

=====

No. 15
Here is a geometry-optimized ZrBSe3 structure from the Alexandria database. Energies are from GGA-PBE.

Unit cell a=4.487 b=4.487 c=4.487 alpha=90.00 beta=90.00 gamma=90.00
Fractional positions:
B: 0.000 0.000 0.000
Se: 0.000 0.500 0.000
Se: 0.000 0.000 0.500
Se: 0.500 0.000 0.000
Zr: 0.500 0.500 0.500

Results
Its total energy is -4.9757 eV/atom. The crystal system is cubic. The magnetic moment comes out at 0.0 Bohr magnetons per cell. As for the formation energy from raw total energies: 0.16 eV per atom.

=====

No. 16
Here is a geometry-optimized Li2GaAu2 structure from the Alexandria database. Energies are from GGA-PBE.

Unit cell a=3.709 b=3.709 c=7.055 alpha=74.76 beta=74.76 gamma=90.00
Fractional positions:
Au: 0.393 0.393 0.215
Au: 0.607 0.607 0.785
Ga: 0.000 0.000 0.000
Li: 0.750 0.250 0.500
Li: 0.250 0.750 0.500

Results
Its total energy is -2.9296 eV/atom. The crystal system is tetragonal. The magnetic moment comes out at 0.0 Bohr magnetons per cell. The value obtained for the formation energy is -248 meV/atom.

=====

No. 17
Here is a geometry-optimized Sc3AgO structure from the Alexandria database. Energies are from GGA-PBE.

Unit cell a=6.367 b=6.367 c=6.367 alpha=58.78 beta=58.78 gamma=58.78
Fractional positions:
Sc: 0.415 0.993 0.836
Sc: 0.993 0.836 0.415
Sc: 0.164 0.585 0.007
Sc: 0.007 0.164 0.585
Sc: 0.585 0.007 0.164
Sc: 0.836 0.415 0.993
O: 0.169 0.169 0.169
O: 0.831 0.831 0.831
Ag: 0.405 0.405 0.405
Ag: 0.595 0.595 0.595

Results
Its total energy is -6.5196 eV/atom. The crystal system is trigonal. The magnetic moment comes out at 0.0 Bohr magnetons per cell. As for the formation energy from raw total energies: -1.16 eV per atom.

=====

No. 18
Here is a geometry-optimized TbAlCuAg structure from the Alexandria database. Energies are from GGA-PBE.

Unit cell a=4.728 b=4.728 c=4.728 alpha=60.00 beta=60.00 gamma=60.00
Fractional positions:
Tb: 0.000 0.000 0.000
Cu: 0.250 0.250 0.250
Ag: 0.750 0.750 0.750
Al: 0.500 0.500 0.500

Results
Its total energy is -4.1411 eV/atom. The crystal system is cubic. The magnetic moment comes out at 0.0 Bohr magnetons per cell. The value obtained for the formation energy is -311 meV/atom.

=====

No. 19
Here is a geometry-optimized La3SmRh structure from the Alexandria database. Energies are from GGA-PBE.

Unit cell a=3.784 b=9.795 c=10.452 alpha=69.01 beta=79.56 gamma=89.85
Fractional positions:
La: 0.185 0.366 0.133
La: 0.815 0.634 0.867
La: 0.169 0.999 0.162
La: 0.831 0.001 0.838
La: 0.365 0.370 0.770
La: 0.635 0.630 0.230
Sm: 0.008 0.321 0.486
Sm: 0.992 0.679 0.514
Rh: 0.754 0.213 0.993
Rh: 0.246 0.787 0.007

Results
Its total energy is -5.5282 eV/atom. The crystal system is triclinic. The magnetic moment comes out at 0.0 Bohr magnetons per cell. The value obtained for the formation energy is -158 meV/atom.

=====

No. 20
Here is a geometry-optimized Y3Sc4Pd4 structure from the Alexandria database. Energies are from GGA-PBE.

Unit cell a=4.425 b=7.602 c=8.579 alpha=116.30 beta=104.95 gamma=90.00
Fractional positions:
Y: 0.110 0.110 0.221
Y: 0.890 0.890 0.779
Y: 0.000 0.500 0.000
Sc: 0.326 0.123 0.652
Sc: 0.674 0.471 0.348
Sc: 0.674 0.877 0.348
Sc: 0.326 0.529 0.652
Pd: 0.214 0.714 0.428
Pd: 0.786 0.286 0.572
Pd: 0.500 0.812 0.000
Pd: 0.500 0.188 0.000

Results
Its total energy is -6.5748 eV/atom. The crystal system is orthorhombic. The magnetic moment comes out at 0.0 Bohr magnetons per cell. The value obtained for the formation energy is -621 meV/atom.